Entry 1:
Density functional theory data (PBE) for an optimized crystal structure of BaW3.

Unit cell a=10.289 b=10.289 c=10.289 alpha=17.31 beta=17.31 gamma=17.31
Positions (direct):
Ba1 0.000 0.000 0.000
W1 0.768 0.768 0.768
W2 0.500 0.500 0.500
W3 0.232 0.232 0.232

Output
raw total energy = -36.34 eV per cell
ΔE_f = 1.112 eV per atom
DOS(E_F) = 0.813 states/eV per atom
magnetic moment = 0.000 μB/atom

Entry 2:
Density functional theory data (PBE) for an optimized crystal structure of Ba2W.

Unit cell a=6.950 b=6.950 c=6.950 alpha=60.00 beta=60.00 gamma=60.00
Positions (direct):
Ba1 0.625 0.125 0.125
Ba2 0.125 0.625 0.125
Ba3 0.125 0.125 0.625
Ba4 0.125 0.125 0.125
W1 0.500 0.500 0.500
W2 0.750 0.750 0.750

Output
raw total energy = -21.02 eV per cell
ΔE_f = 2.096 eV per atom
DOS(E_F) = 1.519 states/eV per atom
magnetic moment = 1.393 μB/atom

Entry 3:
Density functional theory data (PBE) for an optimized crystal structure of BaW.

Unit cell a=5.335 b=5.335 c=5.335 alpha=60.00 beta=60.00 gamma=60.00
Positions (direct):
Ba1 0.000 0.000 0.000
W1 0.750 0.750 0.750

Output
raw total energy = -8.70 eV per cell
ΔE_f = 3.089 eV per atom
DOS(E_F) = 1.552 states/eV per atom
magnetic moment = 2.006 μB/atom

Entry 4:
Density functional theory data (PBE) for an optimized crystal structure of Ba7W6.

Unit cell a=12.764 b=12.764 c=12.764 alpha=31.29 beta=31.29 gamma=31.29
Positions (direct):
Ba1 0.932 0.431 0.431
Ba2 0.431 0.431 0.932
Ba3 0.431 0.932 0.431
Ba4 0.068 0.569 0.569
Ba5 0.569 0.068 0.569
Ba6 0.569 0.569 0.068
Ba7 0.500 0.500 0.500
W1 0.962 0.962 0.962
W2 0.038 0.038 0.038
W3 0.901 0.901 0.901
W4 0.099 0.099 0.099
W5 0.667 0.667 0.667
W6 0.333 0.333 0.333

Output
raw total energy = -66.40 eV per cell
ΔE_f = 1.906 eV per atom
DOS(E_F) = 1.140 states/eV per atom
magnetic moment = 0.104 μB/atom

Entry 5:
Density functional theory data (PBE) for an optimized crystal structure of BaW.

Unit cell a=5.379 b=11.386 c=5.854 alpha=90.00 beta=90.00 gamma=90.00
Positions (direct):
Ba1 0.500 0.840 0.739
Ba2 0.500 0.160 0.739
Ba3 0.500 0.340 0.239
Ba4 0.500 0.660 0.239
Ba5 0.500 0.000 0.215
Ba6 0.500 0.500 0.715
W1 0.000 0.303 0.877
W2 0.000 0.697 0.877
W3 0.000 0.803 0.377
W4 0.000 0.197 0.377
W5 0.000 0.000 0.556
W6 0.000 0.500 0.056

Output
raw total energy = -71.24 eV per cell
ΔE_f = 1.501 eV per atom
DOS(E_F) = 1.212 states/eV per atom
magnetic moment = 0.000 μB/atom

Entry 6:
Density functional theory data (PBE) for an optimized crystal structure of BaW3.

Unit cell a=3.156 b=3.156 c=9.767 alpha=90.00 beta=90.00 gamma=120.00
Positions (direct):
Ba1 0.000 0.000 0.000
W1 0.000 0.000 0.500
W2 0.667 0.333 0.302
W3 0.667 0.333 0.698

Output
raw total energy = -35.92 eV per cell
ΔE_f = 1.216 eV per atom
DOS(E_F) = 1.139 states/eV per atom
magnetic moment = 0.000 μB/atom

Entry 7:
Density functional theory data (PBE) for an optimized crystal structure of Ba2W.

Unit cell a=9.147 b=9.147 c=7.348 alpha=73.26 beta=73.26 gamma=24.25
Positions (direct):
Ba1 0.654 0.654 0.387
Ba2 0.394 0.394 0.072
Ba3 0.346 0.346 0.613
Ba4 0.606 0.606 0.928
W1 0.001 0.001 0.653
W2 0.999 0.999 0.347

Output
raw total energy = -28.16 eV per cell
ΔE_f = 0.906 eV per atom
DOS(E_F) = 1.933 states/eV per atom
magnetic moment = 0.000 μB/atom

Entry 8:
Density functional theory data (PBE) for an optimized crystal structure of BaW.

Unit cell a=6.742 b=6.739 c=3.681 alpha=74.15 beta=74.16 gamma=51.47
Positions (direct):
Ba1 0.103 0.936 0.980
Ba2 0.813 0.647 0.770
W1 0.528 0.360 0.556
W2 0.389 0.223 0.194

Output
raw total energy = -25.61 eV per cell
ΔE_f = 1.036 eV per atom
DOS(E_F) = 1.050 states/eV per atom
magnetic moment = 0.000 μB/atom

Entry 9:
Density functional theory data (PBE) for an optimized crystal structure of Ba3W2.

Unit cell a=5.010 b=5.010 c=9.715 alpha=90.00 beta=90.00 gamma=120.00
Positions (direct):
Ba1 0.000 0.000 0.000
Ba2 0.667 0.333 0.689
Ba3 0.333 0.667 0.311
W1 0.667 0.333 0.022
W2 0.333 0.667 0.978

Output
raw total energy = -25.31 eV per cell
ΔE_f = 1.273 eV per atom
DOS(E_F) = 0.934 states/eV per atom
magnetic moment = 0.134 μB/atom

Entry 10:
Density functional theory data (PBE) for an optimized crystal structure of BaW5.

Unit cell a=5.142 b=5.142 c=8.782 alpha=74.23 beta=74.23 gamma=36.07
Positions (direct):
Ba1 0.000 0.000 0.000
W1 0.330 0.330 0.377
W2 0.670 0.670 0.623
W3 0.665 0.665 0.276
W4 0.000 0.000 0.500
W5 0.335 0.335 0.724

Output
raw total energy = -61.78 eV per cell
ΔE_f = 0.819 eV per atom
DOS(E_F) = 0.880 states/eV per atom
magnetic moment = 0.000 μB/atom

Entry 11:
Density functional theory data (PBE) for an optimized crystal structure of Ba3W.

Unit cell a=3.570 b=5.514 c=7.833 alpha=90.00 beta=90.00 gamma=90.00
Positions (direct):
Ba1 0.000 0.000 0.083
Ba2 0.500 0.000 0.489
Ba3 0.500 0.500 0.843
W1 0.000 0.500 0.252

Output
raw total energy = -13.82 eV per cell
ΔE_f = 1.225 eV per atom
DOS(E_F) = 1.300 states/eV per atom
magnetic moment = 0.182 μB/atom

Entry 12:
Density functional theory data (PBE) for an optimized crystal structure of Ba3W.

Unit cell a=7.126 b=7.126 c=7.126 alpha=116.74 beta=116.74 gamma=116.74
Positions (direct):
Ba1 0.000 0.000 0.000
Ba2 0.500 0.000 0.500
Ba3 0.500 0.500 0.000
W1 0.000 0.500 0.500

Output
raw total energy = -13.54 eV per cell
ΔE_f = 1.296 eV per atom
DOS(E_F) = 0.932 states/eV per atom
magnetic moment = 0.830 μB/atom

Entry 13:
Density functional theory data (PBE) for an optimized crystal structure of Ba2W.

Unit cell a=7.123 b=7.123 c=9.926 alpha=66.39 beta=66.39 gamma=31.96
Positions (direct):
Ba1 0.959 0.959 0.239
Ba2 0.318 0.318 0.928
Ba3 0.638 0.638 0.771
Ba4 0.640 0.640 0.395
W1 0.928 0.928 0.622
W2 0.350 0.350 0.545

Output
raw total energy = -29.40 eV per cell
ΔE_f = 0.700 eV per atom
DOS(E_F) = 1.206 states/eV per atom
magnetic moment = 0.000 μB/atom

Entry 14:
Density functional theory data (PBE) for an optimized crystal structure of BaW5.

Unit cell a=9.556 b=9.556 c=4.395 alpha=90.00 beta=90.00 gamma=160.52
Positions (direct):
Ba1 0.007 0.993 0.000
W1 0.300 0.700 0.000
W2 0.679 0.321 0.000
W3 0.390 0.610 0.500
W4 0.788 0.212 0.500
W5 0.170 0.830 0.500

Output
raw total energy = -61.38 eV per cell
ΔE_f = 0.885 eV per atom
DOS(E_F) = 0.771 states/eV per atom
magnetic moment = 0.000 μB/atom